[1]
A plane-wave DFT calculation with PBE-GGA was carried out for a relaxed Sm2CdAs4Rh3 crystal.

Its space group is P-4m2 (115). Its total magnetization is 0.00 μB per formula unit. The formation energy from the elements is -0.77 eV per atom.

Lattice parameters (Å, degrees): 4.305 4.305 10.460 90.00 90.00 90.00
Positions (direct):
Cd (0.500, 0.500, 0.500)
Rh (0.500, 0.000, 0.883)
Rh (0.000, 0.500, 0.117)
Rh (0.000, 0.000, 0.500)
As (0.500, 0.000, 0.652)
As (0.500, 0.500, 0.000)
As (0.000, 0.000, 0.000)
As (0.000, 0.500, 0.348)
Sm (0.000, 0.500, 0.765)
Sm (0.500, 0.000, 0.235)

=====

[2]
A plane-wave DFT calculation with PBE-GGA was carried out for a relaxed NdSc2Pa crystal.

Its space group is R3m (160). Its total magnetization is 0.00 μB per formula unit. The formation energy from the elements is 0.09 eV per atom.

Lattice parameters (Å, degrees): 3.313 3.313 11.264 81.54 81.54 60.00
Positions (direct):
Sc (0.087, 0.087, 0.738)
Sc (0.246, 0.246, 0.261)
Nd (0.666, 0.666, 0.001)
Pa (0.500, 0.500, 0.500)

=====

[3]
A plane-wave DFT calculation with PBE-GGA was carried out for a relaxed Rb3Pr3TiTe8 crystal.

Its space group is R-3m (166). Its total magnetization is 0.09 μB per formula unit. The formation energy from raw total energies comes out at -1.207 eV/atom.

Lattice parameters (Å, degrees): 9.024 9.022 10.229 116.17 90.00 120.01
Each line ends with the local moment (μB).
Positions (direct):
Ti (0.000, 0.000, 0.500)  0.11
Te (0.763, 0.976, 0.689)  0.00
Te (0.213, 0.426, 0.689)  0.00
Te (0.736, 0.473, 0.709)  0.00
Te (0.787, 0.024, 0.311)  0.00
Te (0.787, 0.574, 0.311)  0.00
Te (0.213, 0.976, 0.689)  0.00
Te (0.264, 0.527, 0.291)  0.00
Te (0.237, 0.024, 0.311)  0.00
Rb (0.000, 0.000, 0.000)  0.00
Rb (0.000, 0.500, 0.000)  0.00
Rb (0.500, 0.500, 0.000)  0.00
Pr (0.500, 0.000, 0.500)  0.00
Pr (0.500, 0.500, 0.500)  0.00
Pr (0.000, 0.500, 0.500)  0.00

=====

[4]
A plane-wave DFT calculation with PBE-GGA was carried out for a relaxed NbTePO2 crystal.

Its space group is P4/mmm (123). Its total magnetization is 0.00 μB per formula unit. The formation energy from raw total energies comes out at -1.111 eV/atom.

Lattice parameters (Å, degrees): 3.932 3.932 5.604 90.00 90.00 90.00
Positions (direct):
O (0.500, 0.000, 0.000)
O (0.000, 0.500, 0.000)
Te (0.500, 0.500, 0.500)
Nb (0.000, 0.000, 0.000)
P (0.000, 0.000, 0.500)

=====

Q: Number 4 is which compound?
A: NbTePO2

=====

Q: Which formula does entry 1 have?
A: Sm2CdAs4Rh3

=====

Q: Number 3 is which compound?
A: Rb3Pr3TiTe8

=====

Q: Look up the total magnetization of the fourth one.
A: 0.00 μB per formula unit